# 1
This record from Alexandria via LeMat-Bulk describes Ac8Dy after structural relaxation. The functional is GGA-PBE.

The space group is I4/mmm (No. 139) and the conventional cell measures 11.8388, 11.8388 and 5.5771 Å, with angles of 90.00, 90.00 and 90.00 degrees. The distinct sites, in fractional coordinates, are Ac at (0.0000, 0.3301, 0.0000), Ac at (0.1639, 0.1639, 0.5000) and Dy at (0.0000, 0.0000, 0.0000).

For the formation energy, the calculation gives 0.03 eV/atom. As for the crystal system: tetragonal.


# 2
This record from Alexandria via LeMat-Bulk describes TmScTl2 after structural relaxation. The functional is GGA-PBE.

The space group is R-3m (No. 166, hexagonal axes) and the conventional cell measures 3.6120, 3.6120 and 28.2522 Å, with angles of 90.00, 90.00 and 120.00 degrees. The distinct sites, in fractional coordinates, are Tm at (0.0000, 0.0000, 0.0000), Sc at (0.0000, 0.0000, 0.5000) and Tl at (0.0000, 0.0000, 0.2472).

For the formation energy, the calculation gives -0.21 eV/atom. As for the crystal system: trigonal.


# 3
This record from Alexandria via LeMat-Bulk describes Ir2PdS4 after structural relaxation. The functional is GGA-PBE.

The space group is Pnma (No. 62) and the conventional cell measures 11.8626, 3.6258 and 11.4932 Å, with angles of 90.00, 90.00 and 90.00 degrees. The distinct sites, in fractional coordinates, are Ir at (0.1050, 0.2500, 0.0838), Ir at (0.1563, 0.2500, 0.7219), Pd at (0.1220, 0.2500, 0.4327), S at (0.0279, 0.2500, 0.8895), S at (0.0599, 0.7500, 0.6331), S at (0.2170, 0.2500, 0.2642) and S at (0.2255, 0.7500, 0.0554).

The uncorrected formation energy comes out at -2.19 eV/f.u. As for the crystal system: orthorhombic.


# 4
This record from Alexandria via LeMat-Bulk describes Ca2GaAg2 after structural relaxation. The functional is GGA-PBE.

The space group is P4/mbm (No. 127) and the conventional cell measures 7.5731, 7.5731 and 4.2882 Å, with angles of 90.00, 90.00 and 90.00 degrees. The distinct sites, in fractional coordinates, are Ca at (0.1767, 0.3233, 0.0000), Ga at (0.0000, 0.0000, 0.5000) and Ag at (0.1305, 0.6305, 0.5000).

For the formation energy, the calculation gives -0.29 eV/atom. As for the crystal system: tetragonal.


# 5
This record from Alexandria via LeMat-Bulk describes TaSbO5 after structural relaxation. The functional is GGA-PBE.

The space group is C2/c (No. 15) and the conventional cell measures 8.5155, 6.2560 and 7.2912 Å, with angles of 90.00, 115.03 and 90.00 degrees. The distinct sites, in fractional coordinates, are Ta at (0.0000, 0.0330, 0.2500), Sb at (0.0000, 0.5000, 0.0000), O at (0.0000, 0.3735, 0.2500), O at (0.0118, 0.1859, 0.9579) and O at (0.2475, 0.0301, 0.3668).

The uncorrected formation energy comes out at -14.32 eV/f.u. As for the crystal system: monoclinic.


# 6
This record from Alexandria via LeMat-Bulk describes NbCuC2S after structural relaxation. The functional is GGA-PBE.

The space group is P4/mmm (No. 123) and the conventional cell measures 4.1047, 4.1047 and 5.0394 Å, with angles of 90.00, 90.00 and 90.00 degrees. The distinct sites, in fractional coordinates, are Nb at (0.0000, 0.0000, 0.0000), Cu at (0.5000, 0.5000, 0.5000), C at (0.0000, 0.5000, 0.0000) and S at (0.0000, 0.0000, 0.5000).

The uncorrected formation energy comes out at 7.43 eV/f.u. As for the crystal system: tetragonal.


Number 1: N(E_F) 1.81 states/eV per atom, magnetic moment 0.00 μB per formula unit. Number 2: N(E_F) 0.65 states/eV per atom, magnetic moment 0.00 μB per formula unit. Number 3: N(E_F) 0.04 states/eV per atom, magnetic moment 0.00 μB per formula unit. Number 4: N(E_F) 0.61 states/eV per atom, magnetic moment 0.00 μB per formula unit. Number 5: N(E_F) 0.00 states/eV per atom, magnetic moment 0.00 μB per formula unit. Number 6: N(E_F) 0.77 states/eV per atom, magnetic moment 0.00 μB per formula unit.